A relaxed CaZr4Te crystal. Source: the Alexandria database, functional PBE-GGA.

## Properties
Formation energy (no corrections) (eV per atom): 0.26
Space group: F-43m, No. 216
Final energy (eV/atom): -6.298

abc: 6.0393 6.0393 6.0393
angles: 60.00 60.00 60.00
Last column: nearest neighbours and their distance in Å.
Fractional coordinates of all 6 atoms:
Ca1 0.7500 0.7500 0.7500  12 Zr 3.53, 4 Te 3.70
Zr1 0.8626 0.3791 0.3791  6 Zr 2.92-3.12
Zr2 0.3791 0.3791 0.8626  6 Zr 2.92-3.12
Zr3 0.3791 0.8626 0.3791  6 Zr 2.92-3.12
Zr4 0.3791 0.3791 0.3791  6 Zr 2.92-3.12
Te1 0.0000 0.0000 0.0000  12 Zr 3.55, 4 Ca 3.70

A relaxed CaZrTe2 crystal. Source: the Alexandria database, functional PBE-GGA.

## Properties
Energy above the lowest structure with this stoichiometry (meV/atom): 185
Formation energy (no corrections) (eV per atom): -0.87
Space group: Fm-3m, No. 225
Final energy (eV/atom): -5.074

abc: 5.2858 5.2858 5.2858
angles: 60.00 60.00 60.00
Last column: nearest neighbours and their distance in Å.
Fractional coordinates of all 4 atoms:
Ca1 0.0000 0.0000 0.0000  8 Te 3.24
Te1 0.2500 0.2500 0.2500  4 Zr 3.24, 4 Ca 3.24
Te2 0.7500 0.7500 0.7500  4 Zr 3.24, 4 Ca 3.24
Zr1 0.5000 0.5000 0.5000  8 Te 3.24

A relaxed Ca3ZrTe crystal. Source: the Alexandria database, functional PBE-GGA.

## Properties
Energy above the lowest structure with this stoichiometry (meV/atom): 0
Formation energy (no corrections) (eV per atom): 0.14
Space group: Pm-3m, No. 221
Final energy (eV/atom): -3.395

abc: 5.8541 5.8541 5.8541
angles: 90.00 90.00 90.00
Last column: nearest neighbours and their distance in Å.
Fractional coordinates of all 5 atoms:
Ca1 0.0000 0.5000 0.0000  2 Te 2.93
Ca2 0.0000 0.0000 0.5000  2 Te 2.93
Ca3 0.5000 0.0000 0.0000  2 Te 2.93
Te1 0.0000 0.0000 0.0000  6 Ca 2.93
Zr1 0.5000 0.5000 0.5000  12 Ca 4.14

A relaxed CaZrTe2 crystal. Source: the Alexandria database, functional PBE-GGA.

## Properties
Energy above the lowest structure with this stoichiometry (meV/atom): 629
Formation energy (no corrections) (eV per atom): -0.42
Space group: R-3m, No. 166
Final energy (eV/atom): -4.630

abc: 9.6186 9.6186 9.6186
angles: 25.58 25.58 25.58
Last column: nearest neighbours and their distance in Å.
Fractional coordinates of all 4 atoms:
Ca1 0.5000 0.5000 0.5000  6 Te 3.12
Te1 0.9020 0.9020 0.9020  1 Zr 2.74
Te2 0.0980 0.0980 0.0980  1 Zr 2.74
Zr1 0.0000 0.0000 0.0000  2 Te 2.74